(1)
# La4PrHo15

A geometry-optimized La4PrHo15 structure (PBE, the Alexandria database).

Volume ... 32.50 A^3/atom
Electronic total energy ... -4.63 eV per atom

Unit cell a=5.0826 b=5.0826 c=25.1637 alpha=90.00 beta=90.00 gamma=90.00
Last column: nearest neighbours and their distance in Å.
Fractional positions:
La 0.0000 0.0000 0.2002  12 Ho 3.57-3.59
La 0.0000 0.0000 0.3998  12 Ho 3.58-3.59
La 0.0000 0.0000 0.6002  12 Ho 3.58-3.59
La 0.0000 0.0000 0.7998  12 Ho 3.57-3.59
Pr 0.0000 0.0000 0.0000  12 Ho 3.56-3.59
Ho 0.5000 0.5000 0.0000  8 Ho 3.56, 4 Pr 3.59
Ho 0.5000 0.5000 0.1994  8 Ho 3.58, 4 La 3.59
Ho 0.5000 0.5000 0.4000  8 Ho 3.58, 4 La 3.59
Ho 0.5000 0.5000 0.6000  8 Ho 3.58, 4 La 3.59
Ho 0.5000 0.5000 0.8006  8 Ho 3.58, 4 La 3.59
Ho 0.5000 0.0000 0.0992  2 Pr 3.56, 8 Ho 3.56-3.59, 2 La 3.59
Ho 0.5000 0.0000 0.2997  4 La 3.57-3.58, 8 Ho 3.58-3.59
Ho 0.5000 0.0000 0.5000  8 Ho 3.58-3.59, 4 La 3.58
Ho 0.5000 0.0000 0.7003  4 La 3.57-3.58, 8 Ho 3.58-3.59
Ho 0.5000 0.0000 0.9008  2 Pr 3.56, 8 Ho 3.56-3.59, 2 La 3.59
Ho 0.0000 0.5000 0.0992  8 Ho 3.56-3.59, 2 Pr 3.56, 2 La 3.59
Ho 0.0000 0.5000 0.2997  4 La 3.57-3.58, 8 Ho 3.58-3.59
Ho 0.0000 0.5000 0.5000  8 Ho 3.58-3.59, 4 La 3.58
Ho 0.0000 0.5000 0.7003  4 La 3.57-3.58, 8 Ho 3.58-3.59
Ho 0.0000 0.5000 0.9008  2 Pr 3.56, 8 Ho 3.56-3.59, 2 La 3.59

(2)
# La12Pr6Ho

A geometry-optimized La12Pr6Ho structure (PBE, the Alexandria database).

Volume ... 36.85 A^3/atom
Electronic total energy ... -4.76 eV per atom

Unit cell a=8.8802 b=8.8802 c=8.8802 alpha=89.33 beta=89.33 gamma=89.33
Last column: nearest neighbours and their distance in Å.
Fractional positions:
La 0.7821 0.5343 0.4325  4 La 3.42-3.75, 3 Pr 3.49-3.57
La 0.4325 0.7821 0.5343  4 La 3.42-3.75, 3 Pr 3.49-3.57
La 0.5343 0.4325 0.7821  4 La 3.42-3.75, 3 Pr 3.49-3.57
La 0.2179 0.4657 0.5675  4 La 3.42-3.75, 3 Pr 3.49-3.57
La 0.5675 0.2179 0.4657  4 La 3.42-3.75, 3 Pr 3.49-3.57
La 0.4657 0.5675 0.2179  4 La 3.42-3.75, 3 Pr 3.49-3.57
La 0.0188 0.1899 0.3605  4 La 3.58-3.75, 4 Pr 3.63-3.82, 1 Ho 3.64
La 0.8101 0.6395 0.9812  4 La 3.58-3.75, 4 Pr 3.63-3.82, 1 Ho 3.64
La 0.6395 0.9812 0.8101  4 La 3.58-3.75, 4 Pr 3.63-3.82, 1 Ho 3.64
La 0.9812 0.8101 0.6395  4 La 3.58-3.75, 4 Pr 3.63-3.82, 1 Ho 3.64
La 0.1899 0.3605 0.0188  4 La 3.58-3.75, 4 Pr 3.63-3.82, 1 Ho 3.64
La 0.3605 0.0188 0.1899  4 La 3.58-3.75, 4 Pr 3.63-3.82, 1 Ho 3.64
Pr 0.7375 0.9029 0.2979  7 La 3.49-3.82, 1 Ho 3.61, 2 Pr 3.65
Pr 0.7021 0.2625 0.0971  7 La 3.49-3.82, 1 Ho 3.61, 2 Pr 3.65
Pr 0.0971 0.7021 0.2625  7 La 3.49-3.82, 1 Ho 3.61, 2 Pr 3.65
Pr 0.2625 0.0971 0.7021  7 La 3.49-3.82, 1 Ho 3.61, 2 Pr 3.65
Pr 0.2979 0.7375 0.9029  7 La 3.49-3.82, 1 Ho 3.61, 2 Pr 3.65
Pr 0.9029 0.2979 0.7375  7 La 3.49-3.82, 1 Ho 3.61, 2 Pr 3.65
Ho 0.0000 0.0000 0.0000  6 Pr 3.61, 6 La 3.64

(3)
# LaPr6Ho5

A geometry-optimized LaPr6Ho5 structure (PBE, the Alexandria database).

Volume ... 34.09 A^3/atom
Electronic total energy ... -4.69 eV per atom

Unit cell a=11.4273 b=5.1701 c=8.1829 alpha=71.63 beta=81.78 gamma=63.08
Last column: nearest neighbours and their distance in Å.
Fractional positions:
La 0.0000 0.0000 0.0000  8 Pr 3.65, 4 Ho 3.68-3.69
Pr 0.7474 0.0857 0.3339  7 Ho 3.61-3.65, 4 Pr 3.65-3.66, 1 La 3.65
Pr 0.2526 0.5804 0.3339  7 Ho 3.61-3.65, 4 Pr 3.65-3.66, 1 La 3.65
Pr 0.2533 0.2468 0.0000  6 Ho 3.61-3.68, 2 La 3.65, 4 Pr 3.66
Pr 0.7467 0.7532 0.0000  6 Ho 3.61-3.68, 2 La 3.65, 4 Pr 3.66
Pr 0.7474 0.4196 0.6661  7 Ho 3.61-3.65, 4 Pr 3.65-3.66, 1 La 3.65
Pr 0.2526 0.9143 0.6661  7 Ho 3.61-3.65, 4 Pr 3.65-3.66, 1 La 3.65
Ho 0.5000 0.1667 0.6666  8 Pr 3.61, 4 Ho 3.66
Ho 0.0000 0.3309 0.3382  2 Ho 3.60-3.61, 8 Pr 3.62-3.68, 2 La 3.68-3.69
Ho 0.5000 0.5000 0.0000  8 Pr 3.61-3.62, 4 Ho 3.66
Ho 0.0000 0.6691 0.6618  2 Ho 3.60-3.61, 8 Pr 3.62-3.68, 2 La 3.68-3.69
Ho 0.5000 0.8333 0.3334  8 Pr 3.61, 4 Ho 3.66

(4)
# La2Pr3Ho2

A geometry-optimized La2Pr3Ho2 structure (PBE, the Alexandria database).

Volume ... 34.97 A^3/atom
Electronic total energy ... -4.74 eV per atom

Unit cell a=6.3680 b=8.9619 c=6.3335 alpha=62.23 beta=80.45 gamma=118.23
Last column: nearest neighbours and their distance in Å.
Fractional positions:
La 0.1455 0.8563 0.5694  4 Ho 3.62-3.68, 6 Pr 3.64-3.70, 2 La 3.66-3.71
La 0.8545 0.1437 0.4306  4 Ho 3.62-3.68, 6 Pr 3.64-3.70, 2 La 3.66-3.71
Pr 0.0000 0.0000 0.0000  4 La 3.67-3.68, 4 Pr 3.67-3.70, 4 Ho 3.67
Pr 0.5741 0.4287 0.2844  4 La 3.64-3.70, 4 Ho 3.65-3.69, 4 Pr 3.67-3.70
Pr 0.4259 0.5713 0.7156  4 La 3.64-3.70, 4 Ho 3.65-3.69, 4 Pr 3.67-3.70
Ho 0.7138 0.2853 0.8546  4 La 3.62-3.68, 6 Pr 3.65-3.69, 2 Ho 3.65-3.67
Ho 0.2862 0.7147 0.1454  4 La 3.62-3.68, 6 Pr 3.65-3.69, 2 Ho 3.65-3.67

(5)
# La7Pr12Ho

A geometry-optimized La7Pr12Ho structure (PBE, the Alexandria database).

Volume ... 37.02 A^3/atom
Electronic total energy ... -4.64 eV per atom

Unit cell a=10.4945 b=10.4945 c=10.4945 alpha=113.23 beta=113.23 gamma=113.23
Last column: nearest neighbours and their distance in Å.
Fractional positions:
La 0.9206 0.5745 0.9210  1 La 3.15, 2 Pr 3.40
La 0.4255 0.0790 0.0794  1 La 3.15, 2 Pr 3.40
La 0.0790 0.0794 0.4255  1 La 3.15, 2 Pr 3.40
La 0.5000 0.5000 0.5000  6 Pr 3.95, 2 Ho 4.18, 6 La 4.33
La 0.9210 0.9206 0.5745  1 La 3.15, 2 Pr 3.40
La 0.5745 0.9210 0.9206  1 La 3.15, 2 Pr 3.40
La 0.0794 0.4255 0.0790  1 La 3.15, 2 Pr 3.40
Pr 0.7844 0.2150 0.4998  2 Pr 3.15
Pr 0.7850 0.5002 0.2156  2 Pr 3.15
Pr 0.3366 0.0158 0.3369  3 La 3.40-3.55, 4 Pr 3.53-3.61, 1 Ho 3.77
Pr 0.9842 0.6631 0.6634  3 La 3.40-3.55, 4 Pr 3.53-3.61, 1 Ho 3.77
Pr 0.5002 0.2156 0.7850  2 Pr 3.15
Pr 0.6631 0.6634 0.9842  3 La 3.40-3.55, 4 Pr 3.53-3.61, 1 Ho 3.77
Pr 0.3369 0.3366 0.0158  3 La 3.40-3.55, 4 Pr 3.53-3.61, 1 Ho 3.77
Pr 0.4998 0.7844 0.2150  2 Pr 3.15
Pr 0.0158 0.3369 0.3366  3 La 3.40-3.55, 4 Pr 3.53-3.61, 1 Ho 3.77
Pr 0.6634 0.9842 0.6631  3 La 3.40-3.55, 4 Pr 3.53-3.61, 1 Ho 3.77
Pr 0.2150 0.4998 0.7844  2 Pr 3.15
Pr 0.2156 0.7850 0.5002  2 Pr 3.15
Ho 0.0000 0.0000 0.0000  6 Pr 3.77, 8 La 3.86-4.18

(6)
# La2Pr5Ho12

A geometry-optimized La2Pr5Ho12 structure (PBE, the Alexandria database).

Volume ... 32.95 A^3/atom
Electronic total energy ... -4.64 eV per atom

Unit cell a=6.2342 b=11.3511 c=15.6917 alpha=142.81 beta=109.52 gamma=79.37
Last column: nearest neighbours and their distance in Å.
Fractional positions:
La 0.7366 0.1070 0.0269  8 Ho 3.59-3.65, 2 La 3.61, 2 Pr 3.62-3.63
La 0.2634 0.8930 0.9731  8 Ho 3.59-3.65, 2 La 3.61, 2 Pr 3.62-3.63
Pr 0.4214 0.6291 0.6562  9 Ho 3.57-3.62, 1 Pr 3.58, 2 La 3.62-3.63
Pr 0.1588 0.7380 0.1847  10 Ho 3.56-3.62, 2 Pr 3.61-3.62
Pr 0.0000 0.0000 0.5000  10 Ho 3.56-3.61, 2 Pr 3.61
Pr 0.8412 0.2620 0.8153  10 Ho 3.56-3.62, 2 Pr 3.61-3.62
Pr 0.5786 0.3709 0.3438  9 Ho 3.57-3.62, 1 Pr 3.58, 2 La 3.62-3.63
Ho 0.1042 0.1585 0.2922  6 Ho 3.56-3.63, 4 Pr 3.56-3.62, 2 La 3.63-3.65
Ho 0.3163 0.4721 0.8677  7 Ho 3.58-3.62, 1 La 3.59, 4 Pr 3.59-3.62
Ho 0.7894 0.6810 0.9207  3 Pr 3.57-3.62, 6 Ho 3.58-3.63, 3 La 3.60-3.63
Ho 0.0527 0.5819 0.3953  4 Pr 3.56-3.61, 7 Ho 3.58-3.63, 1 La 3.61
Ho 0.5279 0.7888 0.4474  7 Ho 3.56-3.60, 5 Pr 3.57-3.61
Ho 0.3673 0.0515 0.7617  7 Ho 3.57-3.62, 4 Pr 3.58-3.60, 1 La 3.60
Ho 0.6327 0.9484 0.2383  7 Ho 3.57-3.62, 4 Pr 3.58-3.60, 1 La 3.60
Ho 0.9473 0.4181 0.6047  4 Pr 3.56-3.61, 7 Ho 3.58-3.63, 1 La 3.61
Ho 0.4721 0.2112 0.5526  7 Ho 3.56-3.60, 5 Pr 3.57-3.61
Ho 0.6837 0.5279 0.1323  7 Ho 3.58-3.62, 1 La 3.59, 4 Pr 3.59-3.62
Ho 0.2106 0.3190 0.0793  3 Pr 3.57-3.62, 6 Ho 3.58-3.63, 3 La 3.60-3.63
Ho 0.8958 0.8415 0.7078  6 Ho 3.56-3.63, 4 Pr 3.56-3.62, 2 La 3.63-3.65